Below is a geometry-optimized AcDyPt4 structure, with properties calculated at the PBE level.

VASP energy = -6.522 eV per atom
Energy of formation from the pure elements = -1043 meV per atom

Cell lengths 5.5500, 5.5500, 5.5500 Å; angles 60.00, 60.00, 60.00 degrees
With the nearest neighbours (Å) after each atom.
Sites, in units of the cell vectors:
Ac: 0.0000 0.0000 0.0000  12 Pt 3.26, 4 Dy 3.40
Dy: 0.7500 0.7500 0.7500  12 Pt 3.25, 4 Ac 3.40
Pt: 0.3755 0.3755 0.3755  6 Pt 2.76-2.79
Pt: 0.3755 0.3755 0.8735  6 Pt 2.76-2.79
Pt: 0.3755 0.8735 0.3755  6 Pt 2.76-2.79
Pt: 0.8735 0.3755 0.3755  6 Pt 2.76-2.79